Material: Na2CuAuO
Method: DFT, PBE-GGA
State: relaxed

```
5
Lattice="4.859 0.000 0.000 0.000 4.859 0.000 0.000 0.000 3.690" Properties=species:S:1:pos:R:3 pbc="T T T"
Na 0.000 2.430 0.000
Na 2.430 0.000 0.000
Cu 0.000 0.000 1.845
Au 2.430 2.430 1.845
O 0.000 0.000 0.000
```

Values from the calculation:
Formation energy (no corrections), meV/atom: -653
SG: P4/mmm
Final energy, eV per atom: -3.6474